Mn5Zn4Te3O18 after structural relaxation, computed with PBE+U.

- V: 12.3 A^3/atom
- Uncorrected energy: -365.84 eV per cell

Unit cell a=8.887 b=8.887 c=10.723 alpha=92.40 beta=92.40 gamma=61.09
Positions (direct):
Mn1 0.004 0.279 0.756
Mn2 0.123 0.558 0.944
Mn3 0.196 0.804 0.750
Mn4 0.279 0.004 0.256
Mn5 0.442 0.877 0.556
Mn6 0.558 0.123 0.444
Mn7 0.721 0.996 0.744
Mn8 0.804 0.196 0.250
Mn9 0.877 0.442 0.056
Mn10 0.996 0.721 0.244
Zn1 0.059 0.348 0.425
Zn2 0.324 0.622 0.446
Zn3 0.348 0.059 0.925
Zn4 0.378 0.676 0.054
Zn5 0.622 0.324 0.946
Zn6 0.652 0.941 0.075
Zn7 0.676 0.378 0.554
Zn8 0.941 0.652 0.575
Te1 0.000 0.000 0.000
Te2 0.000 0.000 0.500
Te3 0.334 0.339 0.194
Te4 0.339 0.334 0.694
Te5 0.661 0.666 0.306
Te6 0.666 0.661 0.806
O1 0.044 0.097 0.153
O2 0.088 0.761 0.556
O3 0.092 0.772 0.073
O4 0.097 0.044 0.653
O5 0.110 0.439 0.111
O6 0.113 0.403 0.604
O7 0.228 0.908 0.427
O8 0.236 0.264 0.827
O9 0.239 0.912 0.944
O10 0.244 0.554 0.781
O11 0.247 0.552 0.293
O12 0.264 0.236 0.327
O13 0.403 0.113 0.104
O14 0.406 0.431 0.056
O15 0.431 0.406 0.556
O16 0.439 0.110 0.611
O17 0.446 0.756 0.719
O18 0.448 0.753 0.207
O19 0.552 0.247 0.793
O20 0.554 0.244 0.281
O21 0.561 0.890 0.389
O22 0.569 0.594 0.444
O23 0.594 0.569 0.944
O24 0.597 0.887 0.896
O25 0.736 0.764 0.673
O26 0.753 0.448 0.707
O27 0.756 0.446 0.219
O28 0.761 0.088 0.056
O29 0.764 0.736 0.173
O30 0.772 0.092 0.573
O31 0.887 0.597 0.396
O32 0.890 0.561 0.889
O33 0.903 0.956 0.347
O34 0.908 0.228 0.927
O35 0.912 0.239 0.444
O36 0.956 0.903 0.847